Ce3TlC | PBE-GGA | relaxed

```
data_Ce3TlC
_symmetry_space_group_name_H-M 'P m -3 m'
_symmetry_Int_Tables_number 221
_symmetry_space_group_name_Hall '-P 4 2 3'
_cell_length_a 4.995
_cell_length_b 4.995
_cell_length_c 4.995
_cell_angle_alpha 90.00
_cell_angle_beta 90.00
_cell_angle_gamma 90.00
loop_
_atom_site_label
_atom_site_fract_x
_atom_site_fract_y
_atom_site_fract_z
Ce1 0.000 0.000 0.500
Tl1 0.500 0.500 0.500
C1 0.000 0.000 0.000
```

Summary:
DFT formation energy = -1.40 eV/f.u.
Polymorph energy (0 for the lowest one) = 0 meV/atom

K3SiBi3S8 | PBE-GGA | relaxed

```
data_K3SiBi3S8
_symmetry_space_group_name_H-M 'R -3 m'
_symmetry_Int_Tables_number 166
_symmetry_space_group_name_Hall '-R 3 2"'
_cell_length_a 7.9879
_cell_length_b 7.9879
_cell_length_c 22.8010
_cell_angle_alpha 90.00
_cell_angle_beta 90.00
_cell_angle_gamma 120.00
loop_
_atom_site_label
_atom_site_fract_x
_atom_site_fract_y
_atom_site_fract_z
K1 0.0000 0.5000 0.0000
Si1 0.0000 0.0000 0.5000
Bi1 0.0000 0.5000 0.5000
S1 0.0000 0.0000 0.2381
S2 0.0541 0.5270 0.2275
```

Summary:
Formation energy without anion corrections = -1016 kJ/mol of formula units

Cs3Cd6Hg | PBE-GGA | relaxed

```
data_Cs3Cd6Hg
_symmetry_space_group_name_H-M 'C 1 2/m 1'
_symmetry_Int_Tables_number 12
_cell_length_a 15.079
_cell_length_b 6.973
_cell_length_c 7.204
_cell_angle_alpha 90.00
_cell_angle_beta 94.27
_cell_angle_gamma 90.00
loop_
_symmetry_equiv_pos_as_xyz
'x,y,z'
'-x,-y,-z'
'-x,y,-z'
'x,-y,z'
'x+1/2,y+1/2,z'
'-x+1/2,-y+1/2,-z'
'-x+1/2,y+1/2,-z'
'x+1/2,-y+1/2,z'
loop_
_atom_site_label
_atom_site_fract_x
_atom_site_fract_y
_atom_site_fract_z
Cs1 0.000 0.000 0.000
Cs2 0.082 0.500 0.292
Cd1 0.191 0.000 0.486
Cd2 0.206 0.286 0.811
Hg1 0.000 0.000 0.500
```

Summary:
DFT formation energy = -0.44 eV/f.u.

Energy per entry: -6.16 -4.26 -0.88 eV/atom